No. 1
A relaxed Lu2CdCo crystal. Source: OQMD, functional PBE.

Values from the calculation:
**Crystal system**: cubic
**DFT total energy**: -4.173 eV per atom
**Space group**: F-43m, No. 216
**Energy relative to the elements**: 88.9 meV/atom

a = 4.805 Å, b = 4.805 Å, c = 4.805 Å
α = 60.00°, β = 60.00°, γ = 60.00°
Sites, in units of the cell vectors:
1 Co 0.250 0.250 0.250
2 Lu 0.000 0.000 0.000
3 Lu 0.750 0.750 0.750
4 Cd 0.500 0.500 0.500

=====

No. 2
A relaxed LuCd2Co crystal. Source: OQMD, functional PBE.

Values from the calculation:
**Crystal system**: cubic
**DFT total energy**: -3.345 eV per atom
**Space group**: F-43m, No. 216
**Energy relative to the elements**: 10.1 meV/atom

a = 4.758 Å, b = 4.758 Å, c = 4.758 Å
α = 60.00°, β = 60.00°, γ = 60.00°
Sites, in units of the cell vectors:
1 Lu 0.500 0.500 0.500
2 Cd 0.000 0.000 0.000
3 Cd 0.750 0.750 0.750
4 Co 0.250 0.250 0.250

=====

No. 3
A relaxed Lu4CdCoN2 crystal. Source: OQMD, functional PBE.

Values from the calculation:
**Crystal system**: hexagonal
**DFT total energy**: -6.223 eV per atom
**Space group**: P-6m2, No. 187

a = 3.360 Å, b = 3.360 Å, c = 14.653 Å
α = 90.00°, β = 90.00°, γ = 120.00°
Sites, in units of the cell vectors:
1 N 0.333 0.667 0.738
2 N 0.333 0.667 0.262
3 Lu 0.000 0.000 0.368
4 Lu 0.667 0.333 0.819
5 Lu 0.667 0.333 0.181
6 Lu 0.000 0.000 0.632
7 Cd 0.000 0.000 0.000
8 Co 0.667 0.333 0.500

=====

No. 4
A relaxed LuCdCoSb crystal. Source: OQMD, functional PBE.

Values from the calculation:
**Crystal system**: cubic
**DFT total energy**: -4.151 eV per atom
**Polymorph energy (0 for the lowest one)**: 40.8 meV per atom
**Space group**: F-43m, No. 216

a = 4.818 Å, b = 4.818 Å, c = 4.818 Å
α = 60.00°, β = 60.00°, γ = 60.00°
Sites, in units of the cell vectors:
1 Cd 0.250 0.250 0.250
2 Lu 0.500 0.500 0.500
3 Sb 0.000 0.000 0.000
4 Co 0.750 0.750 0.750

=====

No. 5
A relaxed LuCdCoSb crystal. Source: OQMD, functional PBE.

Values from the calculation:
**Crystal system**: cubic
**DFT total energy**: -4.192 eV per atom
**Polymorph energy (0 for the lowest one)**: 0.0 meV per atom
**Space group**: F-43m, No. 216

a = 4.845 Å, b = 4.845 Å, c = 4.845 Å
α = 60.00°, β = 60.00°, γ = 60.00°
Sites, in units of the cell vectors:
1 Sb 0.000 0.000 0.000
2 Co 0.750 0.750 0.750
3 Cd 0.500 0.500 0.500
4 Lu 0.250 0.250 0.250

=====

No. 6
A relaxed LuCdCoSi crystal. Source: OQMD, functional PBE.

Values from the calculation:
**Crystal system**: cubic
**DFT total energy**: -4.461 eV per atom
**Polymorph energy (0 for the lowest one)**: 59.3 meV per atom
**Space group**: F-43m, No. 216

a = 4.546 Å, b = 4.546 Å, c = 4.546 Å
α = 60.00°, β = 60.00°, γ = 60.00°
Sites, in units of the cell vectors:
1 Co 0.750 0.750 0.750
2 Lu 0.500 0.500 0.500
3 Cd 0.250 0.250 0.250
4 Si 0.000 0.000 0.000

=====

no.,V (Å³/atom)
1,19.615
2,19.038
3,17.912
4,19.770
5,20.108
6,16.610